First-principles (PBE) data for crystalline PmZn3Cu4O12 at its relaxed geometry, as listed in Alexandria via LeMat-Bulk.

**Symmetry**: Im-3
**Formation energy without anion corrections**: -964 meV/atom
**Total energy**: -5.1868 eV/atom

a b c (Å): 6.423 6.423 6.423
angles (deg): 109.47 109.47 109.47
Element x y z (fractional)
Pm1 0.000 0.000 0.000
Zn1 0.000 0.500 0.500
Zn2 0.500 0.500 0.000
Zn3 0.500 0.000 0.500
Cu1 0.500 0.000 0.000
Cu2 0.500 0.500 0.500
Cu3 0.000 0.500 0.000
Cu4 0.000 0.000 0.500
O1 0.300 0.821 0.120
O2 0.700 0.179 0.880
O3 0.700 0.821 0.521
O4 0.880 0.700 0.179
O5 0.821 0.120 0.300
O6 0.179 0.479 0.300
O7 0.479 0.300 0.179
O8 0.179 0.880 0.700
O9 0.300 0.179 0.479
O10 0.120 0.300 0.821
O11 0.821 0.521 0.700
O12 0.521 0.700 0.821

=====

First-principles (PBE) data for crystalline Pm2ZnCuO6 at its relaxed geometry, as listed in Alexandria via LeMat-Bulk.

**Symmetry**: P2_1/c
**Formation energy without anion corrections**: -2072 meV/atom
**Total energy**: -6.5343 eV/atom

a b c (Å): 5.359 5.835 7.649
angles (deg): 90.00 90.20 90.00
Site moments in Bohr magnetons follow the coordinates.
Element x y z (fractional)
Pm1 0.020 0.922 0.250  0.00
Pm2 0.520 0.578 0.750  0.00
Pm3 0.980 0.078 0.750  0.00
Pm4 0.480 0.422 0.250  0.00
Zn1 0.500 0.000 0.500  0.01
Zn2 0.000 0.500 0.000  0.01
Cu1 0.500 0.000 0.000  0.20
Cu2 0.000 0.500 0.500  0.20
O1 0.299 0.692 0.050  0.08
O2 0.799 0.808 0.550  0.08
O3 0.701 0.308 0.950  0.08
O4 0.201 0.192 0.450  0.08
O5 0.291 0.684 0.455  0.03
O6 0.791 0.816 0.955  0.03
O7 0.709 0.316 0.545  0.03
O8 0.209 0.184 0.045  0.03
O9 0.907 0.524 0.259  0.03
O10 0.407 0.976 0.759  0.03
O11 0.093 0.476 0.741  0.03
O12 0.593 0.024 0.241  0.03

=====

First-principles (PBE) data for crystalline Pr4CuO7 at its relaxed geometry, as listed in Alexandria via LeMat-Bulk.

**Symmetry**: C2/m
**Formation energy without anion corrections**: -2853 meV/atom
**Total energy**: -7.6803 eV/atom

a b c (Å): 4.045 6.919 7.044
angles (deg): 82.66 73.31 73.00
Element x y z (fractional)
Pr1 0.584 0.220 0.612
Pr2 0.416 0.780 0.388
Pr3 0.744 0.664 0.847
Pr4 0.256 0.336 0.153
Cu1 0.000 0.000 0.000
O1 0.797 0.853 0.554
O2 0.203 0.147 0.446
O3 0.086 0.723 0.105
O4 0.914 0.277 0.895
O5 0.367 0.568 0.699
O6 0.500 0.000 0.000
O7 0.633 0.432 0.301

=====

First-principles (PBE) data for crystalline PrCuO2 at its relaxed geometry, as listed in Alexandria via LeMat-Bulk.

**Symmetry**: R-3m
**Formation energy without anion corrections**: -2235 meV/atom
**Total energy**: -6.9328 eV/atom

a b c (Å): 3.800 3.800 6.127
angles (deg): 71.93 71.94 60.00
Element x y z (fractional)
Pr1 0.500 0.500 0.500
O1 0.894 0.894 0.318
O2 0.106 0.106 0.682
Cu1 0.000 0.000 0.000

=====

First-principles (PBE) data for crystalline Pr3CuO at its relaxed geometry, as listed in Alexandria via LeMat-Bulk.

**Symmetry**: P2_1/c
**Formation energy without anion corrections**: -1020 meV/atom
**Total energy**: -5.6981 eV/atom

a b c (Å): 6.377 9.324 8.752
angles (deg): 114.67 90.00 90.00
Element x y z (fractional)
Pr1 0.091 0.643 0.927
Pr2 0.909 0.357 0.073
Pr3 0.591 0.857 0.073
Pr4 0.409 0.143 0.927
Pr5 0.595 0.448 0.802
Pr6 0.405 0.552 0.198
Pr7 0.095 0.052 0.198
Pr8 0.905 0.948 0.802
Pr9 0.101 0.229 0.633
Pr10 0.899 0.771 0.367
Pr11 0.601 0.271 0.367
Pr12 0.399 0.729 0.633
Cu1 0.857 0.583 0.588
Cu2 0.143 0.417 0.412
Cu3 0.357 0.917 0.412
Cu4 0.643 0.083 0.588
O1 0.241 0.389 0.921
O2 0.759 0.611 0.079
O3 0.741 0.111 0.079
O4 0.259 0.889 0.921

=====

First-principles (PBE) data for crystalline Pr3Cu2O6 at its relaxed geometry, as listed in Alexandria via LeMat-Bulk.

**Symmetry**: I4/mmm
**Formation energy without anion corrections**: -2303 meV/atom
**Total energy**: -7.0558 eV/atom

a b c (Å): 3.915 3.915 10.065
angles (deg): 101.21 101.21 90.00
Element x y z (fractional)
Pr1 0.000 0.000 0.000
Pr2 0.824 0.824 0.648
Pr3 0.176 0.176 0.352
Cu1 0.417 0.417 0.833
Cu2 0.583 0.583 0.167
O1 0.084 0.584 0.169
O2 0.584 0.084 0.169
O3 0.916 0.416 0.831
O4 0.416 0.916 0.831
O5 0.706 0.706 0.413
O6 0.294 0.294 0.587

=====

First-principles (PBE) data for crystalline Pr6Cu3O at its relaxed geometry, as listed in Alexandria via LeMat-Bulk.

**Symmetry**: P2_1/c
**Formation energy without anion corrections**: -555 meV/atom
**Total energy**: -5.1472 eV/atom

a b c (Å): 6.736 7.512 10.218
angles (deg): 90.00 86.40 90.00
Element x y z (fractional)
Pr1 0.687 0.165 0.940
Pr2 0.638 0.198 0.572
Pr3 0.655 0.456 0.263
Pr4 0.345 0.544 0.737
Pr5 0.362 0.802 0.428
Pr6 0.313 0.835 0.060
Pr7 0.187 0.335 0.440
Pr8 0.138 0.302 0.072
Pr9 0.155 0.044 0.763
Pr10 0.845 0.956 0.237
Pr11 0.862 0.698 0.928
Pr12 0.813 0.665 0.560
Cu1 0.569 0.887 0.754
Cu2 0.500 0.500 0.000
Cu3 0.431 0.113 0.246
Cu4 0.069 0.613 0.254
Cu5 0.000 0.000 0.500
Cu6 0.931 0.387 0.746
O1 0.500 0.500 0.500
O2 0.000 0.000 0.000

=====

First-principles (PBE) data for crystalline Pr2Cu2O5 at its relaxed geometry, as listed in Alexandria via LeMat-Bulk.

**Symmetry**: Pbam
**Formation energy without anion corrections**: -2052 meV/atom
**Energy above the most stable polymorph in this dataset**: 30 meV/atom
**Total energy**: -6.7786 eV/atom

a b c (Å): 3.820 5.708 10.246
angles (deg): 90.00 90.00 90.00
Site moments in Bohr magnetons follow the coordinates.
Element x y z (fractional)
Pr1 0.500 0.846 0.148  0.00
Pr2 0.500 0.154 0.852  0.00
Pr3 0.500 0.346 0.352  0.00
Pr4 0.500 0.654 0.648  0.00
Cu1 0.000 0.810 0.404  0.12
Cu2 0.000 0.190 0.596  0.12
Cu3 0.000 0.310 0.096  0.12
Cu4 0.000 0.690 0.904  0.12
O1 0.500 0.776 0.399  0.03
O2 0.500 0.224 0.601  0.03
O3 0.500 0.276 0.101  0.03
O4 0.500 0.724 0.899  0.03
O5 0.000 0.085 0.291  0.03
O6 0.000 0.915 0.709  0.03
O7 0.000 0.585 0.209  0.03
O8 0.000 0.415 0.791  0.03
O9 0.000 0.500 0.500  0.02
O10 0.000 0.000 0.000  0.02

=====

First-principles (PBE) data for crystalline Pr4Cu2O at its relaxed geometry, as listed in Alexandria via LeMat-Bulk.

**Symmetry**: I4/mmm
**Formation energy without anion corrections**: -810 meV/atom
**Total energy**: -5.4195 eV/atom

a b c (Å): 4.931 4.931 7.960
angles (deg): 71.96 71.96 90.00
Element x y z (fractional)
Pr1 0.812 0.812 0.376
Pr2 0.188 0.188 0.624
Pr3 0.000 0.500 0.000
Pr4 0.500 0.000 0.000
O1 0.000 0.000 0.000
Cu1 0.618 0.618 0.763
Cu2 0.382 0.382 0.237

=====

First-principles (PBE) data for crystalline Pr3Cu5O12 at its relaxed geometry, as listed in Alexandria via LeMat-Bulk.

**Symmetry**: Ia-3d
**Formation energy without anion corrections**: -1461 meV/atom
**Total energy**: -6.1765 eV/atom

a b c (Å): 10.946 10.946 10.946
angles (deg): 109.47 109.47 109.47
Site moments in Bohr magnetons follow the coordinates.
Element x y z (fractional)
Pr1 0.750 0.375 0.125  -0.01
Pr2 0.875 0.750 0.125  -0.01
Pr3 0.375 0.750 0.625  -0.01
Pr4 0.250 0.125 0.375  -0.01
Pr5 0.875 0.125 0.250  -0.01
Pr6 0.375 0.625 0.250  -0.01
Pr7 0.625 0.375 0.750  -0.01
Pr8 0.125 0.875 0.750  -0.01
Pr9 0.750 0.875 0.625  -0.01
Pr10 0.625 0.250 0.375  -0.01
Pr11 0.125 0.250 0.875  -0.01
Pr12 0.250 0.625 0.875  -0.01
Cu1 0.125 0.375 0.250  0.30
Cu2 0.000 0.500 0.000  -0.11
Cu3 0.000 0.000 0.000  -0.11
Cu4 0.375 0.250 0.125  0.30
Cu5 0.500 0.000 0.500  -0.11
Cu6 0.500 0.500 0.000  -0.11
Cu7 0.125 0.750 0.375  0.30
Cu8 0.750 0.125 0.875  0.30
Cu9 0.750 0.625 0.375  0.30
Cu10 0.375 0.125 0.750  0.30
Cu11 0.625 0.875 0.250  0.30
Cu12 0.500 0.500 0.500  -0.11
Cu13 0.500 0.000 0.000  -0.11
Cu14 0.000 0.000 0.500  -0.11
Cu15 0.250 0.375 0.625  0.30
Cu16 0.250 0.875 0.125  0.30
Cu17 0.000 0.500 0.500  -0.11
Cu18 0.875 0.250 0.625  0.30
Cu19 0.625 0.750 0.875  0.30
Cu20 0.875 0.625 0.750  0.30
O1 0.697 0.118 0.023  0.08
O2 0.326 0.523 0.404  0.08
O3 0.977 0.382 0.303  0.08
O4 0.523 0.197 0.118  0.08
O5 0.578 0.697 0.674  0.08
O6 0.977 0.596 0.174  0.08
O7 0.326 0.803 0.422  0.08
O8 0.096 0.922 0.118  0.08
O9 0.596 0.977 0.674  0.08
O10 0.697 0.578 0.174  0.08
O11 0.803 0.477 0.382  0.08
O12 0.826 0.904 0.023  0.08
O13 0.118 0.697 0.523  0.08
O14 0.382 0.404 0.078  0.08
O15 0.078 0.904 0.382  0.08
O16 0.422 0.118 0.596  0.08
O17 0.078 0.174 0.197  0.08
O18 0.477 0.674 0.096  0.08
O19 0.826 0.922 0.303  0.08
O20 0.118 0.422 0.096  0.08
O21 0.382 0.977 0.803  0.08
O22 0.596 0.618 0.422  0.08
O23 0.904 0.826 0.523  0.08
O24 0.803 0.326 0.922  0.08
O25 0.404 0.382 0.578  0.08
O26 0.096 0.174 0.477  0.08
O27 0.197 0.674 0.078  0.08
O28 0.174 0.078 0.697  0.08
O29 0.618 0.023 0.197  0.08
O30 0.882 0.578 0.904  0.08
O31 0.523 0.326 0.904  0.08
O32 0.578 0.882 0.404  0.08
O33 0.922 0.826 0.803  0.08
O34 0.922 0.096 0.618  0.08
O35 0.882 0.303 0.477  0.08
O36 0.174 0.096 0.977  0.08
O37 0.618 0.596 0.922  0.08
O38 0.404 0.023 0.326  0.08
O39 0.303 0.422 0.826  0.08
O40 0.197 0.523 0.618  0.08
O41 0.904 0.078 0.882  0.08
O42 0.674 0.197 0.578  0.08
O43 0.477 0.803 0.882  0.08
O44 0.023 0.404 0.826  0.08
O45 0.422 0.303 0.326  0.08
O46 0.023 0.618 0.697  0.08
O47 0.674 0.477 0.596  0.08
O48 0.303 0.882 0.977  0.08

=====

First-principles (PBE) data for crystalline Pr2Cu2O5 at its relaxed geometry, as listed in Alexandria via LeMat-Bulk.

**Symmetry**: C2/m
**Formation energy without anion corrections**: -2081 meV/atom
**Energy above the most stable polymorph in this dataset**: 0 meV/atom
**Total energy**: -6.8083 eV/atom

a b c (Å): 4.073 5.039 6.862
angles (deg): 110.05 107.26 90.00
Element x y z (fractional)
Pr1 0.619 0.326 0.238
Pr2 0.381 0.674 0.762
Cu1 0.904 0.207 0.808
Cu2 0.096 0.793 0.192
O1 0.588 0.796 0.177
O2 0.412 0.204 0.823
O3 0.813 0.423 0.627
O4 0.187 0.577 0.373
O5 0.000 0.000 0.000

=====

First-principles (PBE) data for crystalline Pr3CuO at its relaxed geometry, as listed in Alexandria via LeMat-Bulk.

**Symmetry**: Pm-3m
**Formation energy without anion corrections**: -1028 meV/atom
**Total energy**: -5.7070 eV/atom

a b c (Å): 4.941 4.941 4.941
angles (deg): 90.00 90.00 90.00
Element x y z (fractional)
Pr1 0.000 0.500 0.000
Pr2 0.000 0.000 0.500
Pr3 0.500 0.000 0.000
O1 0.000 0.000 0.000
Cu1 0.500 0.500 0.500

=====

First-principles (PBE) data for crystalline PrCuO at its relaxed geometry, as listed in Alexandria via LeMat-Bulk.

**Symmetry**: R-3m
**Formation energy without anion corrections**: -1790 meV/atom
**Total energy**: -6.4010 eV/atom

a b c (Å): 4.090 4.085 7.822
angles (deg): 105.11 90.00 120.04
Element x y z (fractional)
O1 0.292 0.584 0.376
O2 0.708 0.416 0.624
Pr1 0.599 0.198 0.297
Pr2 0.401 0.802 0.703
Cu1 0.834 0.668 0.002
Cu2 0.166 0.332 0.998

=====

First-principles (PBE) data for crystalline PrCu7O12 at its relaxed geometry, as listed in Alexandria via LeMat-Bulk.

**Symmetry**: Im-3
**Formation energy without anion corrections**: -828 meV/atom
**Total energy**: -5.4757 eV/atom

a b c (Å): 6.378 6.378 6.378
angles (deg): 109.47 109.47 109.47
Element x y z (fractional)
Pr1 0.000 0.000 0.000
Cu1 0.500 0.000 0.500
Cu2 0.500 0.500 0.000
Cu3 0.000 0.500 0.500
Cu4 0.000 0.000 0.500
Cu5 0.500 0.000 0.000
Cu6 0.500 0.500 0.500
Cu7 0.000 0.500 0.000
O1 0.310 0.171 0.482
O2 0.310 0.829 0.139
O3 0.690 0.829 0.518
O4 0.690 0.171 0.861
O5 0.482 0.310 0.171
O6 0.861 0.690 0.171
O7 0.518 0.690 0.829
O8 0.139 0.310 0.829
O9 0.829 0.139 0.310
O10 0.171 0.861 0.690
O11 0.171 0.482 0.310
O12 0.829 0.518 0.690

=====

First-principles (PBE) data for crystalline Pr3CuO6 at its relaxed geometry, as listed in Alexandria via LeMat-Bulk.

**Symmetry**: Cmc2_1
**Formation energy without anion corrections**: -2556 meV/atom
**Total energy**: -7.3747 eV/atom

a b c (Å): 5.724 7.462 7.462
angles (deg): 102.72 90.00 90.00
Site moments in Bohr magnetons follow the coordinates.
Element x y z (fractional)
Pr1 0.472 0.913 0.700  0.00
Pr2 0.972 0.700 0.913  0.00
Pr3 0.429 0.396 0.604  0.00
Pr4 0.929 0.604 0.396  0.00
Pr5 0.972 0.087 0.300  0.00
Pr6 0.472 0.300 0.087  0.00
Cu1 0.999 0.188 0.812  0.77
Cu2 0.499 0.812 0.188  0.77
O1 0.204 0.672 0.647  0.02
O2 0.704 0.647 0.672  0.02
O3 0.179 0.411 0.895  0.26
O4 0.679 0.895 0.411  0.26
O5 0.174 0.044 0.956  0.26
O6 0.672 0.215 0.785  0.19
O7 0.172 0.785 0.215  0.19
O8 0.674 0.956 0.044  0.26
O9 0.179 0.105 0.589  0.26
O10 0.679 0.589 0.105  0.26
O11 0.204 0.353 0.328  0.02
O12 0.704 0.328 0.353  0.02

=====

First-principles (PBE) data for crystalline PrPuCu2O8 at its relaxed geometry, as listed in Alexandria via LeMat-Bulk.

**Symmetry**: I-4m2
**Formation energy without anion corrections**: -1499 meV/atom
**Total energy**: -7.0800 eV/atom

a b c (Å): 5.965 5.965 5.965
angles (deg): 109.34 109.34 109.74
Site moments in Bohr magnetons follow the coordinates.
Element x y z (fractional)
Pr1 0.000 0.000 0.000  0.03
Pu1 0.250 0.750 0.500  -0.26
Cu1 0.750 0.250 0.500  0.39
Cu2 0.500 0.500 0.000  0.13
O1 0.379 0.045 0.334  0.15
O2 0.306 0.517 0.211  0.04
O3 0.306 0.095 0.789  0.04
O4 0.711 0.045 0.666  0.15
O5 0.905 0.694 0.211  0.04
O6 0.955 0.289 0.334  0.15
O7 0.955 0.621 0.666  0.15
O8 0.483 0.694 0.789  0.04

=====

First-principles (PBE) data for crystalline PrPu2CuO8 at its relaxed geometry, as listed in Alexandria via LeMat-Bulk.

**Symmetry**: P2/m
**Formation energy without anion corrections**: -2406 meV/atom
**Total energy**: -8.8395 eV/atom

a b c (Å): 5.024 5.031 6.918
angles (deg): 90.00 90.00 86.32
Site moments in Bohr magnetons follow the coordinates.
Element x y z (fractional)
Pr1 0.000 0.000 0.500  -0.01
Pu1 0.500 0.500 0.760  2.72
Pu2 0.500 0.500 0.240  2.72
Cu1 0.000 0.000 0.000  -0.36
O1 0.211 0.787 0.227  -0.13
O2 0.679 0.681 0.000  -0.17
O3 0.789 0.213 0.227  -0.13
O4 0.789 0.213 0.773  -0.13
O5 0.321 0.319 0.000  -0.17
O6 0.211 0.787 0.773  -0.13
O7 0.675 0.677 0.500  -0.08
O8 0.325 0.323 0.500  -0.08